(1)
# NdY2In4

NdY2In4 after structural relaxation (PBE, the Alexandria database).

Unit cell a=5.327 b=5.327 c=8.272 alpha=108.78 beta=108.78 gamma=90.00
Element x y z (fractional)
In (0.379, 0.879, 0.757)
In (0.621, 0.121, 0.243)
In (0.879, 0.379, 0.757)
In (0.121, 0.621, 0.243)
Y (0.746, 0.746, 0.492)
Y (0.254, 0.254, 0.508)
Nd (0.000, 0.000, 0.000)

Its raw total energy is -4.409 eV/atom. The space group is I4/mmm (139). The value obtained for the formation energy is -0.316 eV per atom.

---

(2)
# NdYIn4

NdYIn4 after structural relaxation (PBE, the Alexandria database).

Unit cell a=6.046 b=6.046 c=6.046 alpha=60.00 beta=60.00 gamma=60.00
Element x y z (fractional)
Nd (0.250, 0.250, 0.250)
In (0.625, 0.625, 0.625)
In (0.125, 0.625, 0.625)
In (0.625, 0.625, 0.125)
In (0.625, 0.125, 0.625)
Y (0.000, 0.000, 0.000)

The energy above the most stable polymorph in this dataset comes out at 59 meV per atom. Its raw total energy is -4.087 eV/atom. The space group is F-43m (216). The value obtained for the formation energy is -0.390 eV per atom.

---

Please write out number 1 again, unchanged.
# NdY2In4

NdY2In4 after structural relaxation (PBE, the Alexandria database).

Unit cell a=5.327 b=5.327 c=8.272 alpha=108.78 beta=108.78 gamma=90.00
Element x y z (fractional)
In (0.379, 0.879, 0.757)
In (0.621, 0.121, 0.243)
In (0.879, 0.379, 0.757)
In (0.121, 0.621, 0.243)
Y (0.746, 0.746, 0.492)
Y (0.254, 0.254, 0.508)
Nd (0.000, 0.000, 0.000)

Its raw total energy is -4.409 eV/atom. The space group is I4/mmm (139). The value obtained for the formation energy is -0.316 eV per atom.